DFT (PBE) results for an optimized crystal structure of SmZn2Ru.

space-group type: P4/mmm, No. 123
energy of formation from the pure elements: -0.50 eV per formula unit
V: 72.4 Å³/f.u.
crystal system: tetragonal

Cell and atoms, written as CIF:
```
data_SmZn2Ru
_chemical_formula_sum 'Sm1 Zn2 Ru1'
_cell_length_a 3.3895
_cell_length_b 3.3895
_cell_length_c 6.3039
_cell_angle_alpha 90.00
_cell_angle_beta 90.00
_cell_angle_gamma 90.00
_space_group_name_H-M_alt 'P 1'
_space_group_IT_number 1
loop_
_space_group_symop_operation_xyz
'x,y,z'
loop_
_atom_site_label
_atom_site_type_symbol
_atom_site_fract_x
_atom_site_fract_y
_atom_site_fract_z
_atom_site_occupancy
Ru1 Ru 0.5000 0.5000 0.0000 1
Zn1 Zn 0.0000 0.0000 0.8055 1
Zn2 Zn 0.0000 0.0000 0.1945 1
Sm1 Sm 0.5000 0.5000 0.5000 1
```

***

DFT (PBE) results for an optimized crystal structure of KTlO.

space-group type: P2_1/m, No. 11
ΔE_f (raw): -898 meV per atom
V: 75.2 Å³/f.u.
crystal system: monoclinic

Cell and atoms, written as CIF:
```
data_KTlO
_chemical_formula_sum 'K2 Tl2 O2'
_cell_length_a 3.6251
_cell_length_b 7.0670
_cell_length_c 6.6371
_cell_angle_alpha 117.74
_cell_angle_beta 90.00
_cell_angle_gamma 90.00
_space_group_name_H-M_alt 'P 1'
_space_group_IT_number 1
loop_
_space_group_symop_operation_xyz
'x,y,z'
loop_
_atom_site_label
_atom_site_type_symbol
_atom_site_fract_x
_atom_site_fract_y
_atom_site_fract_z
_atom_site_occupancy
Tl1 Tl 0.2500 0.7331 0.6158 1
Tl2 Tl 0.7500 0.2669 0.3842 1
K1 K 0.7500 0.2608 0.8944 1
K2 K 0.2500 0.7392 0.1056 1
O1 O 0.7500 0.5741 0.7505 1
O2 O 0.2500 0.4259 0.2495 1
```